(1)
This record from Alexandria via LeMat-Bulk describes a relaxed SrGa6Ni3 crystal. The functional is PBE. Values from VASP.

Geometry as Quantum ESPRESSO input:
```
&SYSTEM
  ibrav = 0, nat = 20, ntyp = 3
/
ATOMIC_SPECIES
Sr 87.62 Sr.upf
Ga 69.72 Ga.upf
Ni 58.69 Ni.upf
ATOMIC_POSITIONS angstrom
Sr 0.000 0.000 0.000
Sr -2.187 3.265 3.675
Ga -2.208 0.001 5.040
Ga -0.020 3.264 1.365
Ga 0.365 1.075 3.071
Ga -1.822 2.190 6.745
Ga -0.091 4.851 5.394
Ga 2.096 4.944 1.719
Ga 0.507 1.586 5.631
Ga 2.694 1.679 1.956
Ga 4.425 4.340 0.604
Ga 2.238 5.455 4.279
Ga 4.811 6.529 2.310
Ga 2.623 3.266 5.985
Ni -2.258 4.508 6.601
Ni -0.071 5.287 2.926
Ni 3.489 0.000 0.000
Ni 1.301 3.265 3.675
Ni 2.674 1.243 4.424
Ni 4.861 2.022 0.749
CELL_PARAMETERS angstrom
6.978 0.000 0.000
0.000 6.530 0.000
-4.375 0.000 7.350
```

Output
DOS(E_F), states/eV per atom: 0.32
Density, kg/m3: 6764
Size of the total moment, μB per atom: 0.00
Calculated formation energy, eV per atom: -0.30

---

(2)
This record from Alexandria via LeMat-Bulk describes a relaxed Pm2SnPb crystal. The functional is PBE. Values from VASP.

Geometry as Quantum ESPRESSO input:
```
&SYSTEM
  ibrav = 0, nat = 4, ntyp = 3
/
ATOMIC_SPECIES
Pm 145.00 Pm.upf
Sn 118.71 Sn.upf
Pb 207.20 Pb.upf
ATOMIC_POSITIONS angstrom
Pm 0.000 0.000 2.198
Pm 0.000 0.000 6.957
Sn 1.776 1.776 0.000
Pb 1.776 1.776 4.578
CELL_PARAMETERS angstrom
3.552 0.000 0.000
0.000 3.552 0.000
0.000 0.000 9.155
```

Output
DOS(E_F), states/eV per atom: 0.97
Polymorph energy (0 for the lowest one), meV per atom: 75
Density, kg/m3: 8856
Size of the total moment, μB per atom: 0.00
Calculated formation energy, eV per atom: -0.59

---

no.,VASP energy (eV/atom)
1,-4.0147
2,-4.8961